No. 1
## TbMg12 (PBE)

Data for an optimized crystal structure of TbMg12.

Fermi-level density of states, states/eV/cell: 5.28
ΔE_f, eV/atom: -0.0169
M_tot, μB/cell: 0.0
Mass density, g/cm³: 2.4

Lattice parameters (Å, degrees): 7.7960 7.7960 7.7960 98.45 98.45 134.92
Closest atoms and distances in Å follow each position.
Positions (direct):
1 Tb 0.0000 0.0000 0.0000  20 Mg 3.56-3.90
2 Mg 0.0000 0.0000 0.5000  10 Mg 2.98-3.12
3 Mg 0.0000 0.3498 0.3498  9 Mg 3.06-3.31
4 Mg 0.0000 0.5000 0.0000  10 Mg 2.98-3.12
5 Mg 0.0000 0.6502 0.6502  9 Mg 3.06-3.31
6 Mg 0.2888 0.5000 0.7888  10 Mg 2.98-3.31
7 Mg 0.3498 0.0000 0.3498  9 Mg 3.06-3.31
8 Mg 0.5000 0.0000 0.0000  10 Mg 2.98-3.12
9 Mg 0.5000 0.2888 0.7888  10 Mg 2.98-3.31
10 Mg 0.5000 0.5000 0.5000  10 Mg 2.98-3.12
11 Mg 0.5000 0.7112 0.2112  10 Mg 2.98-3.31
12 Mg 0.6502 0.0000 0.6502  9 Mg 3.06-3.31
13 Mg 0.7112 0.5000 0.2112  10 Mg 2.98-3.31

=====

No. 2
## CeReSi2Ru (PBE)

Data for an optimized crystal structure of CeReSi2Ru.

Fermi-level density of states, states/eV/cell: 6.64
Formation energy (no corrections), meV/atom: -644
M_tot, μB/cell: 0.6
Mass density, g/cm³: 9.2

Lattice parameters (Å, degrees): 5.7294 5.7294 5.7294 136.70 136.70 62.90
Closest atoms and distances in Å follow each position.
Positions (direct):
1 Ce 0.0000 0.0000 0.0000  4 Ru 3.23, 4 Re 3.23, 8 Si 3.25
2 Re 0.2500 0.7500 0.5000  4 Si 2.42
3 Si 0.3705 0.3705 0.0000  2 Re 2.42, 2 Ru 2.42, 1 Si 2.53
4 Si 0.6295 0.6295 0.0000  2 Re 2.42, 2 Ru 2.42, 1 Si 2.53
5 Ru 0.7500 0.2500 0.5000  4 Si 2.42

=====

No. 3
## ReTeN2O (PBE)

Data for an optimized crystal structure of ReTeN2O.

Fermi-level density of states, states/eV/cell: 3.57
Formation energy (no corrections), meV/atom: 2208
M_tot, μB/cell: 0.0
Mass density, g/cm³: 9.6

Lattice parameters (Å, degrees): 3.9096 3.9096 4.0666 90.00 90.00 90.00
Closest atoms and distances in Å follow each position.
Positions (direct):
1 Re 0.0000 0.0000 0.0000  4 Te 2.76, 8 N 2.82
2 Te 0.5000 0.5000 0.0000  2 O 2.03
3 N 0.0000 0.5000 0.5000  2 O 1.95
4 N 0.5000 0.0000 0.5000  2 O 1.95
5 O 0.5000 0.5000 0.5000  4 N 1.95, 2 Te 2.03

=====

No. 4
## Li4BiRh (PBE)

Data for an optimized crystal structure of Li4BiRh.

Fermi-level density of states, states/eV/cell: 4.12
ΔE_f, eV/atom: -0.3218
M_tot, μB/cell: 0.0
Mass density, g/cm³: 5.8

Lattice parameters (Å, degrees): 5.4447 4.5329 8.3348 90.00 108.94 90.00
Closest atoms and distances in Å follow each position.
Positions (direct):
1 Li 0.0343 0.2500 0.0855  5 Li 2.62-2.81
2 Li 0.1868 0.2500 0.4179  4 Li 2.48-2.62
3 Li 0.2688 0.7500 0.5821  4 Li 2.48-2.62
4 Li 0.4492 0.7500 0.9147  5 Li 2.62-2.81
5 Li 0.5508 0.2500 0.0853  5 Li 2.62-2.81
6 Li 0.7312 0.2500 0.4179  4 Li 2.48-2.62
7 Li 0.8132 0.7500 0.5821  4 Li 2.48-2.62
8 Li 0.9657 0.7500 0.9145  5 Li 2.62-2.81
9 Bi 0.3741 0.7500 0.2484  2 Rh 2.72, 12 Li 2.94-3.02
10 Bi 0.6259 0.2500 0.7516  2 Rh 2.72, 12 Li 2.94-3.02
11 Rh 0.1217 0.2500 0.7430  2 Bi 2.72, 12 Li 2.84-3.05
12 Rh 0.8783 0.7500 0.2570  2 Bi 2.72, 12 Li 2.84-3.05

=====

Question: Which formula does entry 3 have?
Answer: ReTeN2O

=====

Question: Number 3 is which compound?
Answer: ReTeN2O